[1]
Density functional theory data (PBE) for a relaxed structure of Ca2PmPuTe4.

E_form (uncorrected): -1.42 eV/atom

```
Ca2PmPuTe4
1.0
4.463 0.000 0.000
0.000 7.731 0.132
0.000 -2.704 7.348
Te Pu Ca Pm
4 1 2 1
direct
0.000 0.249 0.748
0.500 0.750 0.749
0.000 0.751 0.252
0.500 0.250 0.251
0.000 0.000 0.000
0.000 0.500 0.500
0.500 0.000 0.500
0.500 0.500 0.000
```

[2]
Density functional theory data (PBE) for a relaxed structure of Cs2AlCuAg.

Formation energy: 352 meV/atom

```
Cs2AlCuAg
1.0
-5.462 -2.724 3.068
2.296 -4.132 0.419
2.431 1.967 6.074
Cs Al Cu Ag
2 1 1 1
direct
0.500 0.000 0.000
0.000 0.000 0.500
0.000 0.500 0.000
0.000 0.000 0.000
0.500 0.500 0.500
```

[3]
Density functional theory data (PBE) for a relaxed structure of Be2PtF.

E_form (uncorrected): -1.29 eV/atom
Energy above the lowest structure with this stoichiometry: 162 meV per atom

```
Be2PtF
1.0
5.777 0.000 -0.019
0.000 2.736 0.000
-1.695 0.000 5.791
Be Pt F
4 2 2
direct
0.170 0.000 0.988
0.712 0.000 0.196
0.662 0.000 0.672
0.187 0.000 0.585
0.053 0.500 0.253
0.470 0.500 0.879
0.955 0.000 0.737
0.606 0.000 0.409
```

[4]
Density functional theory data (PBE) for a relaxed structure of NaLaPb.

Formation energy: -300 meV/atom

```
NaLaPb
1.0
5.366 0.000 0.000
2.683 4.647 0.000
2.683 1.549 4.382
La Pb Na
1 1 1
direct
0.500 0.500 0.500
0.250 0.250 0.250
0.000 0.000 0.000
```

[5]
Density functional theory data (PBE) for a relaxed structure of Pr2TeP.

E_form (uncorrected): -1.55 eV/atom
Energy above the lowest structure with this stoichiometry: 25 meV per atom

```
Pr2TeP
1.0
4.280 0.000 0.000
0.000 6.179 0.000
0.000 0.000 8.968
Pr Te P
4 2 2
direct
0.500 0.500 0.166
0.000 0.000 0.834
0.000 0.000 0.396
0.500 0.500 0.604
0.500 0.000 0.117
0.000 0.500 0.883
0.000 0.500 0.381
0.500 0.000 0.619
```

[6]
Density functional theory data (PBE) for a relaxed structure of Ce5SiPt.

E_form (uncorrected): -0.40 eV/atom

```
Ce5SiPt
1.0
5.802 -1.070 -0.601
0.825 5.842 -0.601
1.639 1.180 9.937
Ce Si Pt
10 2 2
direct
0.551 0.772 0.993
0.149 0.851 0.250
0.228 0.449 0.507
0.420 0.986 0.663
0.986 0.420 0.163
0.014 0.580 0.837
0.449 0.228 0.007
0.772 0.551 0.493
0.580 0.014 0.337
0.851 0.149 0.750
0.502 0.498 0.750
0.498 0.502 0.250
0.000 0.000 0.500
0.000 0.000 0.000
```

[7]
Density functional theory data (PBE) for a relaxed structure of Gd2PdRu.

Formation energy: -607 meV/atom

```
Gd2PdRu
1.0
3.450 0.000 0.000
0.000 3.450 0.000
0.000 0.000 7.123
Gd Ru Pd
2 1 1
direct
0.000 0.000 0.761
0.000 0.000 0.239
0.500 0.500 0.000
0.500 0.500 0.500
```

[8]
Density functional theory data (PBE) for a relaxed structure of SrMnCr2.

Energy above the lowest structure with this stoichiometry: 332 meV per atom
Formation energy: 887 meV/atom

```
SrMnCr2
1.0
4.880 -0.078 0.000
0.089 4.880 0.000
-2.485 -2.401 3.447
Cr Sr Mn
2 1 1
direct
0.500 0.500 0.000
0.000 0.000 0.000
0.750 0.250 0.500
0.250 0.750 0.500
```

[9]
Density functional theory data (PBE) for a relaxed structure of Si3IrPt.

E_form (uncorrected): 0.47 eV/atom
Energy above the lowest structure with this stoichiometry: 829 meV per atom

```
Si3IrPt
1.0
4.583 0.000 0.000
0.000 4.583 0.000
0.000 0.000 4.583
Si Ir Pt
3 1 1
direct
0.000 0.000 0.500
0.500 0.000 0.000
0.000 0.500 0.000
0.000 0.000 0.000
0.500 0.500 0.500
```

[10]
Density functional theory data (PBE) for a relaxed structure of K2BiSeO6.

E_form (uncorrected): -0.99 eV/atom

```
K2BiSeO6
1.0
-2.288 -4.168 -3.471
5.335 -2.408 -0.625
0.832 -5.685 1.285
O K Se Bi
6 2 1 1
direct
0.280 0.721 0.000
0.279 0.280 0.000
0.720 0.279 0.000
0.280 0.280 0.441
0.720 0.720 0.559
0.721 0.720 0.000
0.250 0.750 0.500
0.750 0.250 0.500
0.500 0.500 0.000
0.000 0.000 0.000
```

[11]
Density functional theory data (PBE) for a relaxed structure of NpPaAlAu.

Formation energy: 109 meV/atom

```
NpPaAlAu
1.0
4.958 0.000 0.000
2.479 4.293 0.000
2.479 1.431 4.048
Pa Np Au Al
1 1 1 1
direct
0.250 0.250 0.250
0.000 0.000 0.000
0.500 0.500 0.500
0.750 0.750 0.750
```

[12]
Density functional theory data (PBE) for a relaxed structure of CaWSe.

E_form (uncorrected): 0.24 eV/atom
Energy above the lowest structure with this stoichiometry: 240 meV per atom

```
CaWSe
1.0
-2.651 0.895 3.268
3.676 -2.112 0.729
1.967 3.630 0.601
W Ca Se
1 1 1
direct
0.333 0.667 0.500
0.000 0.000 0.000
0.667 0.333 0.500
```

[13]
Density functional theory data (PBE) for a relaxed structure of Tb6Ho3Er2Tl.

Formation energy: -12 meV/atom

```
Tb6Ho3Er2Tl
1.0
6.099 -0.005 0.000
-3.052 5.280 0.000
-1.027 -1.778 11.422
Tb Ho Tl Er
6 3 1 2
direct
0.588 0.918 0.753
0.412 0.082 0.247
0.248 0.248 0.751
0.918 0.588 0.753
0.082 0.412 0.247
0.752 0.752 0.249
0.833 0.167 0.500
0.167 0.833 0.500
0.500 0.500 0.500
0.000 0.000 0.000
0.334 0.666 0.000
0.666 0.334 0.000
```

[14]
Density functional theory data (PBE) for a relaxed structure of YCd2Sb.

E_form (uncorrected): -0.43 eV/atom

```
YCd2Sb
1.0
-1.873 -6.008 0.002
3.961 -4.747 -1.178
-0.400 5.178 3.555
Sb Y Cd
1 1 2
direct
0.750 0.250 0.500
0.250 0.750 0.500
0.500 0.500 0.000
0.000 0.000 0.000
```

[15]
Density functional theory data (PBE) for a relaxed structure of MgCdPt3.

Energy above the lowest structure with this stoichiometry: 0 meV per atom
Formation energy: 510 meV/atom

```
MgCdPt3
1.0
4.636 0.000 0.000
0.000 4.636 0.000
0.000 0.000 4.636
Pt Mg Cd
3 1 1
direct
0.000 0.000 0.500
0.500 0.000 0.000
0.000 0.500 0.000
0.000 0.000 0.000
0.500 0.500 0.500
```

[16]
Density functional theory data (PBE) for a relaxed structure of CeMgZn.

Formation energy: -118 meV/atom

```
CeMgZn
1.0
-1.196 -2.809 -0.974
-1.094 -1.162 4.698
-3.325 2.388 -2.804
Zn Mg Ce
1 1 1
direct
0.501 0.333 0.667
0.499 0.667 0.333
0.000 0.000 0.000
```

[17]
Density functional theory data (PBE) for a relaxed structure of Pa2CoPb.

Energy above the lowest structure with this stoichiometry: 68 meV per atom
Formation energy: -46 meV/atom

```
Pa2CoPb
1.0
3.805 0.000 0.000
1.903 3.295 0.000
1.903 1.098 8.009
Pa Co Pb
2 1 1
direct
0.272 0.272 0.183
0.728 0.728 0.817
0.000 0.000 0.000
0.500 0.500 0.500
```

[18]
Density functional theory data (PBE) for a relaxed structure of SiTc2Hg.

E_form (uncorrected): 0.26 eV/atom
Energy above the lowest structure with this stoichiometry: 218 meV per atom

```
SiTc2Hg
1.0
2.854 -0.002 0.000
-1.143 2.615 0.000
0.000 0.000 8.526
Tc Hg Si
2 1 1
direct
0.000 0.000 0.538
0.000 0.000 0.962
0.500 0.500 0.250
0.500 0.500 0.750
```

[19]
Density functional theory data (PBE) for a relaxed structure of AlTePbO6.

E_form (uncorrected): -1.56 eV/atom

```
AlTePbO6
1.0
5.160 0.000 0.000
-2.580 4.469 0.000
0.000 0.000 10.029
O Te Al Pb
12 2 2 2
direct
0.376 0.372 0.356
0.376 0.004 0.144
0.372 0.376 0.856
0.004 0.376 0.644
0.628 0.624 0.144
0.624 0.996 0.856
0.624 0.628 0.644
0.004 0.628 0.856
0.996 0.372 0.144
0.628 0.004 0.356
0.996 0.624 0.356
0.372 0.996 0.644
0.667 0.333 0.750
0.333 0.667 0.250
0.667 0.333 0.250
0.333 0.667 0.750
0.000 0.000 0.000
0.000 0.000 0.500
```

[20]
Density functional theory data (PBE) for a relaxed structure of BaGa5Pd4.

Formation energy: -477 meV/atom

```
BaGa5Pd4
1.0
-5.808 -0.095 -3.179
-3.605 -1.384 6.627
-0.762 7.574 1.167
Ga Ba Pd
10 2 8
direct
0.707 0.678 0.194
0.024 0.500 0.000
0.707 0.678 0.806
0.293 0.822 0.306
0.293 0.822 0.694
0.707 0.322 0.806
0.293 0.178 0.306
0.976 0.000 0.500
0.707 0.322 0.194
0.293 0.178 0.694
0.975 0.000 0.000
0.025 0.500 0.500
0.450 0.173 0.000
0.641 0.000 0.683
0.450 0.827 0.000
0.550 0.327 0.500
0.641 0.000 0.317
0.359 0.500 0.817
0.359 0.500 0.183
0.550 0.673 0.500
```